Record 1
This record from the Alexandria database describes crystalline PaBeGa at its relaxed geometry. The functional is GGA-PBE.

abc: 3.9273 3.9273 8.1401
angles: 90.00 90.00 120.00
Sites, in units of the cell vectors:
Be1 0.3333 0.6667 0.2500
Ga1 0.6667 0.3333 0.2500
Be2 0.6667 0.3333 0.7500
Pa1 0.0000 0.0000 0.0000
Pa2 0.0000 0.0000 0.5000
Ga2 0.3333 0.6667 0.7500

Relative energy among the computed polymorphs ... 0 meV per atom
Formation energy from the elements ... -0.186 eV per atom

Record 2
This record from the Alexandria database describes crystalline Tl2PtCl at its relaxed geometry. The functional is GGA-PBE.

abc: 3.8512 3.8512 7.6282
angles: 90.00 90.00 90.00
Sites, in units of the cell vectors:
Tl1 0.5000 0.5000 0.2776
Cl1 0.0000 0.0000 0.4673
Tl2 0.0000 0.0000 0.8523
Pt1 0.5000 0.5000 0.9027

Relative energy among the computed polymorphs ... 6 meV per atom
Formation energy (no corrections) ... -0.32 eV per atom

Record 3
This record from the Alexandria database describes crystalline Mg2CuMo at its relaxed geometry. The functional is GGA-PBE.

abc: 4.9995 4.9995 4.9995
angles: 132.83 132.83 68.92
Sites, in units of the cell vectors:
Mg1 0.5000 0.5000 0.0000
Cu1 0.7500 0.2500 0.5000
Mo1 0.2500 0.7500 0.5000
Mg2 0.0000 0.0000 0.0000

Relative energy among the computed polymorphs ... 281 meV per atom
Formation energy from the elements ... 0.438 eV per atom

Record 4
This record from the Alexandria database describes crystalline La2Dy2Rh3 at its relaxed geometry. The functional is GGA-PBE.

abc: 7.6175 7.6175 7.6175
angles: 109.47 109.47 109.47
Sites, in units of the cell vectors:
Rh1 0.2500 0.8387 0.0887
Rh2 0.1613 0.4113 0.2500
La1 0.0000 0.0000 0.3801
Rh3 0.3387 0.0887 0.7500
Dy1 0.3871 0.5000 0.0000
Dy2 0.5000 0.8871 0.5000
La2 0.8801 0.5000 0.0000
Rh4 0.9113 0.2500 0.6613
Dy3 0.1129 0.6129 0.6129
La3 0.5000 0.3801 0.5000
Rh5 0.7500 0.6613 0.4113
Rh6 0.5887 0.7500 0.8387
La4 0.6199 0.1199 0.1199
Dy4 0.0000 0.0000 0.8871

Formation energy from the elements ... -0.745 eV per atom

Record 5
This record from the Alexandria database describes crystalline HfMgIr at its relaxed geometry. The functional is GGA-PBE.

abc: 3.4218 3.4218 5.3686
angles: 108.58 108.58 90.00
Sites, in units of the cell vectors:
Mg1 0.2931 0.2931 0.5862
Hf1 0.5930 0.5930 0.1861
Ir1 0.9639 0.9639 0.9278

Formation energy from the elements ... -0.468 eV per atom

Record 6
This record from the Alexandria database describes crystalline Li2CoRu at its relaxed geometry. The functional is GGA-PBE.

abc: 4.7340 4.7340 4.4702
angles: 80.37 80.37 30.83
Sites, in units of the cell vectors:
Li1 0.4956 0.4956 0.5004
Ru1 0.2500 0.2500 0.2500
Li2 0.0044 0.0044 0.9996
Co1 0.7500 0.7500 0.7500

Relative energy among the computed polymorphs ... 0 meV per atom
Formation energy from the elements ... 0.123 eV per atom

| no. | N(E_F) (states/eV per atom) | total moment (Bohr magnetons per cell) |
| --- | --- | --- |
| 1 | 0.744 | 0.000 |
| 2 | 0.230 | 0.000 |
| 3 | 0.839 | 1.079 |
| 4 | 0.484 | 0.000 |
| 5 | 0.707 | 0.000 |
| 6 | 0.606 | 1.702 |